# Cs2ThCl8 (GGA-PBE, relaxed)
data_Cs2ThCl8
_space_group_name_H-M_alt 'C 1 2/m 1'
_space_group_IT_number 12
_space_group_name_Hall '-C 2y'
_cell_length_a 13.5095
_cell_length_b 9.8393
_cell_length_c 8.2255
_cell_angle_alpha 90.00
_cell_angle_beta 119.69
_cell_angle_gamma 90.00
loop_
_atom_site_label
_atom_site_type_symbol
_atom_site_fract_x
_atom_site_fract_y
_atom_site_fract_z
Cs1 Cs 0.2252 0.0000 0.3332
Th1 Th 0.0000 0.5000 0.0000
Cl1 Cl 0.0768 0.0000 0.6221
Cl2 Cl 0.0768 0.3094 0.2712
Cl3 Cl 0.2058 0.5000 0.0197
# Mass density (g/cm3): 2.7
# Uncorrected energy (eV per formula unit): -43.35
# Total magnetic moment (Bohr magnetons per cell): 0.199


# Pu2PaP2Ru2 (GGA-PBE, relaxed)
data_Pu2PaP2Ru2
_space_group_name_H-M_alt 'R -3 m'
_space_group_IT_number 166
_space_group_name_Hall '-R 3 2"'
_cell_length_a 4.1155
_cell_length_b 4.1155
_cell_length_c 24.5651
_cell_angle_alpha 90.00
_cell_angle_beta 90.00
_cell_angle_gamma 120.00
loop_
_atom_site_label
_atom_site_type_symbol
_atom_site_fract_x
_atom_site_fract_y
_atom_site_fract_z
Pu1 Pu 0.0000 0.0000 0.1521
Pa1 Pa 0.0000 0.0000 0.0000
P1 P 0.0000 0.0000 0.2636
Ru1 Ru 0.0000 0.0000 0.4213
# Mass density (g/cm3): 13.6
# Uncorrected energy (eV per formula unit): -71.37
# DFT formation energy (eV per atom): -0.548
# Total magnetic moment (Bohr magnetons per cell): 0.037


# BeBiF2 (GGA-PBE, relaxed)
data_BeBiF2
_space_group_name_H-M_alt 'R -3 m'
_space_group_IT_number 166
_space_group_name_Hall '-R 3 2"'
_cell_length_a 2.9935
_cell_length_b 2.9935
_cell_length_c 28.3903
_cell_angle_alpha 90.00
_cell_angle_beta 90.00
_cell_angle_gamma 120.00
loop_
_atom_site_label
_atom_site_type_symbol
_atom_site_fract_x
_atom_site_fract_y
_atom_site_fract_z
Be1 Be 0.0000 0.0000 0.0000
Bi1 Bi 0.0000 0.0000 0.5000
F1 F 0.0000 0.0000 0.3621
# Mass density (g/cm3): 5.8
# Uncorrected energy (eV per formula unit): -18.37
# Total magnetic moment (Bohr magnetons per cell): 0.000


# Pr3NdZn (GGA-PBE, relaxed)
data_Pr3NdZn
_space_group_name_H-M_alt 'C 1 2/m 1'
_space_group_IT_number 12
_space_group_name_Hall '-C 2y'
_cell_length_a 30.0985
_cell_length_b 3.7429
_cell_length_c 5.6868
_cell_angle_alpha 90.00
_cell_angle_beta 90.15
_cell_angle_gamma 90.00
loop_
_atom_site_label
_atom_site_type_symbol
_atom_site_fract_x
_atom_site_fract_y
_atom_site_fract_z
Pr1 Pr 0.0441 0.0000 0.2381
Pr2 Pr 0.1238 0.0000 0.7470
Pr3 Pr 0.1574 0.5000 0.2497
Nd1 Nd 0.2325 0.5000 0.7488
Zn1 Zn 0.0400 0.5000 0.7257
# Mass density (g/cm3): 6.6
# Uncorrected energy (eV per formula unit): -20.82
# DFT formation energy (eV per atom): -0.087
# Total magnetic moment (Bohr magnetons per cell): 0.000


# Pu2TeN (GGA-PBE, relaxed)
data_Pu2TeN
_space_group_name_H-M_alt 'P 4/m m m'
_space_group_IT_number 123
_space_group_name_Hall '-P 4 2'
_cell_length_a 3.2874
_cell_length_b 3.2874
_cell_length_c 7.4093
_cell_angle_alpha 90.00
_cell_angle_beta 90.00
_cell_angle_gamma 90.00
loop_
_atom_site_label
_atom_site_type_symbol
_atom_site_fract_x
_atom_site_fract_y
_atom_site_fract_z
Pu1 Pu 0.0000 0.0000 0.1915
Te1 Te 0.5000 0.5000 0.5000
N1 N 0.5000 0.5000 0.0000
# Mass density (g/cm3): 13.1
# Uncorrected energy (eV per formula unit): -42.31
# Total magnetic moment (Bohr magnetons per cell): 11.326


# Zr6InRh (GGA-PBE, relaxed)
data_Zr6InRh
_space_group_name_H-M_alt 'P -1'
_space_group_IT_number 2
_space_group_name_Hall '-P 1'
_cell_length_a 5.5663
_cell_length_b 5.5672
_cell_length_c 5.5728
_cell_angle_alpha 93.23
_cell_angle_beta 93.22
_cell_angle_gamma 93.31
loop_
_atom_site_label
_atom_site_type_symbol
_atom_site_fract_x
_atom_site_fract_y
_atom_site_fract_z
Zr1 Zr 0.0124 0.0338 0.2592
Zr2 Zr 0.2410 0.4884 0.9684
Zr3 Zr 0.4662 0.7405 0.4885
In1 In 0.5000 0.0000 0.0000
Rh1 Rh 0.0000 0.5000 0.5000
# Mass density (g/cm3): 7.4
# Uncorrected energy (eV per formula unit): -63.51
# DFT formation energy (eV per atom): -0.266
# Total magnetic moment (Bohr magnetons per cell): 0.000


Repeat the third record exactly.
# BeBiF2 (GGA-PBE, relaxed)
data_BeBiF2
_space_group_name_H-M_alt 'R -3 m'
_space_group_IT_number 166
_space_group_name_Hall '-R 3 2"'
_cell_length_a 2.9935
_cell_length_b 2.9935
_cell_length_c 28.3903
_cell_angle_alpha 90.00
_cell_angle_beta 90.00
_cell_angle_gamma 120.00
loop_
_atom_site_label
_atom_site_type_symbol
_atom_site_fract_x
_atom_site_fract_y
_atom_site_fract_z
Be1 Be 0.0000 0.0000 0.0000
Bi1 Bi 0.0000 0.0000 0.5000
F1 F 0.0000 0.0000 0.3621
# Mass density (g/cm3): 5.8
# Uncorrected energy (eV per formula unit): -18.37
# Total magnetic moment (Bohr magnetons per cell): 0.000


Repeat the third record exactly.
# BeBiF2 (GGA-PBE, relaxed)
data_BeBiF2
_space_group_name_H-M_alt 'R -3 m'
_space_group_IT_number 166
_space_group_name_Hall '-R 3 2"'
_cell_length_a 2.9935
_cell_length_b 2.9935
_cell_length_c 28.3903
_cell_angle_alpha 90.00
_cell_angle_beta 90.00
_cell_angle_gamma 120.00
loop_
_atom_site_label
_atom_site_type_symbol
_atom_site_fract_x
_atom_site_fract_y
_atom_site_fract_z
Be1 Be 0.0000 0.0000 0.0000
Bi1 Bi 0.0000 0.0000 0.5000
F1 F 0.0000 0.0000 0.3621
# Mass density (g/cm3): 5.8
# Uncorrected energy (eV per formula unit): -18.37
# Total magnetic moment (Bohr magnetons per cell): 0.000


- What is the uncorrected energy in the first record?
  -43.35 eV per formula unit